This record from Alexandria describes a relaxed CaCu2HgBi crystal. The functional is GGA-PBEsol.

Unit cell a=4.811 b=4.811 c=5.477 alpha=90.00 beta=90.00 gamma=90.00
Space group P4/mmm (No. 123)
Asymmetric unit:
1 Ca 0.000 0.000 0.000 [1 per cell]
2 Cu 0.000 0.500 0.500 [2 per cell]
3 Hg 0.000 0.000 0.500 [1 per cell]
4 Bi 0.500 0.500 0.000 [1 per cell]

Magnetization: 0.000 μB per atom
Uncorrected energy: -2.770 eV per atom
D(E_F): 0.432 states/eV per atom
E_form: 0.361 eV/atom